Entry A
Entry from the Alexandria database: Ba2MoPt at its PBEsol-relaxed geometry (meta-GGA SCAN).

Cell lengths 3.5411, 3.5411, 9.5788 Å; angles 90.00, 90.00, 90.00 degrees
Atoms (fractional coordinates):
Ba  0.0000  0.0000  0.0000
Ba  0.5000  0.5000  0.4112
Mo  0.0000  0.0000  0.6772
Pt  0.5000  0.5000  0.7567

Results
Calculated volume   30.0 Å³/atom


Entry B
Entry from the Alexandria database: Ba2MoPt at its PBEsol-relaxed geometry (meta-GGA SCAN).

Cell lengths 6.1478, 6.1478, 6.1478 Å; angles 135.99, 135.99, 63.99 degrees
Atoms (fractional coordinates):
Ba  0.0000  0.0000  0.0000
Ba  0.7500  0.2500  0.5000
Mo  0.5000  0.5000  0.0000
Pt  0.2500  0.7500  0.5000

Results
Calculated volume   27.7 Å³/atom


The computed energies, referenced to the most stable structure and given in meV/atom, are entry A 0; entry B 338.